# 1
Compound: CeMgZr2
Source: the Alexandria database
Functional: PBE
Structure: relaxed

Cell: 10.7957 10.7957 10.7957 Å, 17.33 17.33 17.33°
Fractional coordinates of all 4 atoms:
1 Ce 0.0000 0.0000 0.0000
2 Mg 0.5000 0.5000 0.5000
3 Zr 0.2491 0.2491 0.2491
4 Zr 0.7509 0.7509 0.7509

Values from the calculation:
Its calculated density is 5.9 g cm⁻³. As for the total magnetization: 0.00 μB per formula unit. The excess energy over the best structure of this formula in the dataset is 51 meV per atom.

---

# 2
Compound: MnTl2W2
Source: the Alexandria database
Functional: PBE
Structure: relaxed

Cell: 8.0562 8.0562 8.0562 Å, 153.35 153.35 38.04°
Fractional coordinates of all 5 atoms:
1 Mn 0.0000 0.0000 0.0000
2 Tl 0.4014 0.4014 0.0000
3 Tl 0.5986 0.5986 0.0000
4 W 0.2500 0.7500 0.5000
5 W 0.7500 0.2500 0.5000

Values from the calculation:
Its calculated density is 13.1 g cm⁻³. As for the total magnetization: 4.06 μB per formula unit. The excess energy over the best structure of this formula in the dataset is 0 meV per atom.

---

Number 1: E_form 113.3 meV per atom, DOS at the Fermi energy 6.63 states/eV per cell. Number 2: E_form 1056.8 meV per atom, DOS at the Fermi energy 2.55 states/eV per cell.